Here is crystalline KHfWO6 at its relaxed geometry from Alexandria. Energies are from PBE with a Hubbard U.

Output
Magnetic moment: 1.1 μB per formula unit
Uncorrected energy: -0.2804 hartree per atom
Space group: No. 5

abc: 5.5938 5.5938 5.7682
angles: 91.21 91.21 120.71
Last column: nearest neighbours and their distance in Å.
Element x y z (fractional)
K: 0.0000 0.0000 0.0000  6 O 2.79-3.04
Hf: 0.6808 0.3192 0.5000  6 O 2.03-2.12
W: 0.3213 0.6787 0.5000  6 O 1.90-2.01
O: 0.0090 0.4000 0.3038  1 W 1.96, 1 Hf 2.03
O: 0.0304 0.6166 0.6996  1 W 1.90, 1 Hf 2.10
O: 0.3834 0.9696 0.3004  1 W 1.90, 1 Hf 2.10
O: 0.4039 0.4160 0.6665  1 W 2.01, 1 Hf 2.12, 1 O 2.20
O: 0.5840 0.5961 0.3335  1 W 2.01, 1 Hf 2.12, 1 O 2.20
O: 0.6000 0.9910 0.6962  1 W 1.96, 1 Hf 2.03